ErAlAgRu | PBE | optimized geometry

```
4
Lattice="4.6596 0.0000 0.0000 2.3298 4.0353 0.0000 2.3298 1.3451 3.8045" Properties=species:S:1:pos:R:3 pbc="T T T"
Ru 6.9894 4.0353 2.8534
Al 0.0000 0.0000 0.0000
Ag 2.3298 1.3451 0.9511
Er 4.6596 2.6902 1.9023
```

Calculated values
Calculated formation energy (eV/atom): -0.30
Space group: F-43m, No. 216

SiTePtI2 | PBE | optimized geometry

```
5
Lattice="-0.9469 -0.2786 -5.3366 3.0094 -4.5064 -0.2988 -4.3439 -2.9622 0.9254" Properties=species:S:1:pos:R:3 pbc="T T T"
I 1.5047 -2.2532 -0.1494
I -0.4735 -0.1393 -2.6683
Si -1.1407 -3.8736 -2.3550
Te -2.1719 -1.4811 0.4627
Pt 0.0000 0.0000 0.0000
```

Calculated values
Space group: P4/mmm, No. 123
Formation energy from raw total energies (eV/atom): 0.5968

KInSb2Te | PBE | optimized geometry

```
5
Lattice="6.2013 0.0000 0.0000 0.0000 6.2013 0.0000 0.0000 0.0000 6.2873" Properties=species:S:1:pos:R:3 pbc="T T T"
Sb 0.0000 3.1006 0.0000
Sb 3.1006 0.0000 0.0000
K 0.0000 0.0000 0.0000
Te 0.0000 0.0000 3.1437
In 3.1006 3.1006 3.1437
```

Calculated values
Space group: P4/mmm, No. 123
Formation energy from raw total energies (eV/atom): 0.9151